# 1
A crystal of SrRhF6 relaxed with PBEsol, computed with SCAN.

Structure (POSCAR):
```
SrRhF6
1.0
4.752 -0.002 -0.002
-0.691 4.701 -0.002
-0.691 -0.800 4.633
F Sr Rh
6 1 1
direct
0.791 0.430 0.791
0.430 0.791 0.791
0.570 0.209 0.209
0.209 0.209 0.570
0.791 0.791 0.430
0.209 0.570 0.209
0.000 0.000 0.000
0.500 0.500 0.500
```

Computed properties:
E_form (uncorrected), eV/atom: -2.66
Symmetry: R-3m
VASP energy, eV per cell: -98.57

# 2
A crystal of Al3Au5 relaxed with PBEsol, computed with SCAN.

Structure (POSCAR):
```
Al3Au5
1.0
-1.542 2.939 2.873
-4.462 0.743 -3.156
-1.387 -4.086 3.436
Al Au
3 5
direct
0.000 0.500 0.500
0.500 0.778 0.222
0.500 0.222 0.778
0.000 0.500 0.000
0.500 0.711 0.711
0.000 0.000 0.500
0.000 0.000 0.000
0.500 0.289 0.289
```

Computed properties:
Symmetry: Cmmm
VASP energy, eV per cell: -372.23
ΔE to the lowest computed polymorph, eV/atom: 0.073